1.
Computed, not measured: a geometry-optimized Cs2KHg12Au3 structure at the PBE level of DFT.

Cell: 10.5536 10.5536 22.7782 Å, 90.00 90.00 120.00°
Space group R-3m (No. 166, hexagonal axes)
Symmetry-distinct sites (fractional):
Cs (0.0000, 0.0000, 0.0965) [6 per cell]
K (0.0000, 0.0000, 0.5000) [3 per cell]
Hg (0.0235, 0.5117, 0.8706) [18 per cell]
Hg (0.1114, 0.2227, 0.7086) [18 per cell]
Au (0.0000, 0.5000, 0.0000) [9 per cell]

Output
Total magnetic moment   0.00 μB/atom
Theoretical density   7.49 g/cm3
Total energy   -1.00 eV per atom

---

2.
Computed, not measured: a geometry-optimized CaLaBr2 structure at the PBE level of DFT.

Cell: 5.268 5.268 3.832 Å, 90.00 90.00 90.00°
Space group P4/mmm (No. 123)
Symmetry-distinct sites (fractional):
Ca (0.000, 0.000, 0.000) [1 per cell]
La (0.500, 0.500, 0.000) [1 per cell]
Br (0.000, 0.500, 0.500) [2 per cell]

Output
Total magnetic moment   0.00 μB/atom
Theoretical density   5.29 g/cm3
Total energy   -3.61 eV per atom
Formation energy (no corrections)   -1.040 eV/atom

---

3.
Computed, not measured: a geometry-optimized LiSb2O6 structure at the PBE level of DFT.

Cell: 4.761 4.761 9.278 Å, 90.00 90.00 90.00°
Space group P4_2/mnm (No. 136)
Symmetry-distinct sites (fractional):
Li (0.000, 0.000, 0.000) [2 per cell]
Sb (0.000, 0.000, 0.331) [4 per cell]
O (0.190, 0.190, 0.500) [4 per cell]
O (0.201, 0.201, 0.173) [8 per cell]

Output
Total magnetic moment   0.03 μB/atom
Theoretical density   5.47 g/cm3
Total energy   -5.78 eV per atom
Formation energy (no corrections)   -1.342 eV/atom